This record from the Open Quantum Materials Database describes crystalline CsCo3As5 at its relaxed geometry. The functional is PBE-GGA.

a b c (Å): 5.0764 5.0764 8.6547
angles (deg): 90.00 90.00 120.00
Closest atoms and distances in Å follow each position.
Positions (direct):
As 0.6667 0.3333 0.2814  3 Co 2.39
As 0.3333 0.6667 0.2814  3 Co 2.39
As 0.0000 0.0000 0.5000  6 Co 2.54
As 0.6667 0.3333 0.7186  3 Co 2.39
As 0.3333 0.6667 0.7186  3 Co 2.39
Co 0.5000 0.0000 0.5000  6 As 2.39-2.54, 4 Co 2.54
Co 0.0000 0.5000 0.5000  6 As 2.39-2.54, 4 Co 2.54
Co 0.5000 0.5000 0.5000  6 As 2.39-2.54, 4 Co 2.54
Cs 0.0000 0.0000 0.0000  12 As 3.81

- E_tot (eV/atom) = -5.26
- total magnetic moment (μB/f.u.) = 1.39



This record from the Open Quantum Materials Database describes crystalline CsCo2As2 at its relaxed geometry. The functional is PBE-GGA.

a b c (Å): 7.1845 7.1845 4.2591
angles (deg): 107.24 107.24 34.49
Closest atoms and distances in Å follow each position.
Positions (direct):
As 0.7500 0.7500 0.2500  4 Co 2.34
As 0.2500 0.2500 0.7500  4 Co 2.34
Co 0.3238 0.3238 0.3238  4 As 2.34
Co 0.6762 0.6762 0.6762  4 As 2.34
Cs 0.0000 0.0000 0.0000  10 Co 3.79-4.22, 8 As 3.90

- E_tot (eV/atom) = -4.76
- total magnetic moment (μB/f.u.) = 0.01



This record from the Open Quantum Materials Database describes crystalline CsMgCo3As2P at its relaxed geometry. The functional is PBE-GGA.

a b c (Å): 3.7569 3.8751 10.6157
angles (deg): 90.00 90.00 90.00
Closest atoms and distances in Å follow each position.
Positions (direct):
As 0.5000 0.5000 0.2778  2 Mg 2.48, 2 Co 2.49
As 0.5000 0.5000 0.7418  4 Co 2.33-2.36
Co 0.0000 0.5000 0.1231  2 P 2.48, 2 As 2.49, 1 Co 2.67, 4 Mg 2.70
Co 0.5000 0.0000 0.8687  2 P 2.20, 2 As 2.36
Co 0.0000 0.5000 0.8716  2 P 2.24, 2 As 2.33
Cs 0.0000 0.0000 0.5078  8 As 3.64-3.67, 4 Cs 3.76-3.88
Mg 0.5000 0.0000 0.1322  2 As 2.48, 2 P 2.50, 4 Co 2.70
P 0.0000 0.0000 0.9771  4 Co 2.20-2.24

- E_tot (eV/atom) = -5.13
- total magnetic moment (μB/f.u.) = 0.55



This record from the Open Quantum Materials Database describes crystalline CoCu5As2 at its relaxed geometry. The functional is PBE-GGA.

a b c (Å): 4.1720 4.1720 5.9093
angles (deg): 90.00 90.00 90.00
Closest atoms and distances in Å follow each position.
Positions (direct):
As 0.0000 0.0000 0.0000  8 Cu 2.56
As 0.5000 0.5000 0.5000  8 Cu 2.56
Co 0.5000 0.5000 0.0000  8 Cu 2.56
Cu 0.5000 0.0000 0.2502  4 As 2.56, 2 Cu 2.56, 2 Co 2.56
Cu 0.0000 0.5000 0.2502  2 Cu 2.56, 4 As 2.56, 2 Co 2.56
Cu 0.0000 0.0000 0.5000  8 Cu 2.56
Cu 0.5000 0.0000 0.7498  4 As 2.56, 2 Cu 2.56, 2 Co 2.56
Cu 0.0000 0.5000 0.7498  4 As 2.56, 2 Cu 2.56, 2 Co 2.56

- E_tot (eV/atom) = -4.16
- total magnetic moment (μB/f.u.) = 0.95



This record from the Open Quantum Materials Database describes crystalline CoCu5As2 at its relaxed geometry. The functional is PBE-GGA.

a b c (Å): 4.1721 4.1721 5.9094
angles (deg): 90.00 90.00 90.00
Closest atoms and distances in Å follow each position.
Positions (direct):
As 0.0000 0.0000 0.0000  8 Cu 2.56
As 0.5000 0.5000 0.5000  8 Cu 2.56
Co 0.0000 0.0000 0.5000  8 Cu 2.56
Cu 0.5000 0.5000 0.0000  8 Cu 2.56
Cu 0.5000 0.0000 0.2498  4 As 2.56, 2 Cu 2.56, 2 Co 2.56
Cu 0.0000 0.5000 0.2498  4 As 2.56, 2 Cu 2.56, 2 Co 2.56
Cu 0.5000 0.0000 0.7502  4 As 2.56, 2 Cu 2.56, 2 Co 2.56
Cu 0.0000 0.5000 0.7502  4 As 2.56, 2 Cu 2.56, 2 Co 2.56

- E_tot (eV/atom) = -4.16
- total magnetic moment (μB/f.u.) = 0.00



This record from the Open Quantum Materials Database describes crystalline FeCoCu4As2 at its relaxed geometry. The functional is PBE-GGA.

a b c (Å): 4.1789 4.1789 5.9450
angles (deg): 90.00 90.00 90.00
Closest atoms and distances in Å follow each position.
Positions (direct):
As 0.0000 0.0000 0.0000  8 Cu 2.58
As 0.5000 0.5000 0.5000  8 Cu 2.55
Co 0.0000 0.0000 0.5000  8 Cu 2.55
Cu 0.5000 0.0000 0.2545  4 As 2.55-2.58, 2 Co 2.55, 2 Fe 2.58
Cu 0.0000 0.5000 0.2545  4 As 2.55-2.58, 2 Co 2.55, 2 Fe 2.58
Cu 0.5000 0.0000 0.7455  4 As 2.55-2.58, 2 Co 2.55, 2 Fe 2.58
Cu 0.0000 0.5000 0.7455  4 As 2.55-2.58, 2 Co 2.55, 2 Fe 2.58
Fe 0.5000 0.5000 0.0000  8 Cu 2.58

- E_tot (eV/atom) = -4.64
- total magnetic moment (μB/f.u.) = 3.58



Which of these has the lowest E_tot?
CsCo3As5



What did the sixth record say?
This record from the Open Quantum Materials Database describes crystalline FeCoCu4As2 at its relaxed geometry. The functional is PBE-GGA.

a b c (Å): 4.1789 4.1789 5.9450
angles (deg): 90.00 90.00 90.00
Closest atoms and distances in Å follow each position.
Positions (direct):
As 0.0000 0.0000 0.0000  8 Cu 2.58
As 0.5000 0.5000 0.5000  8 Cu 2.55
Co 0.0000 0.0000 0.5000  8 Cu 2.55
Cu 0.5000 0.0000 0.2545  4 As 2.55-2.58, 2 Co 2.55, 2 Fe 2.58
Cu 0.0000 0.5000 0.2545  4 As 2.55-2.58, 2 Co 2.55, 2 Fe 2.58
Cu 0.5000 0.0000 0.7455  4 As 2.55-2.58, 2 Co 2.55, 2 Fe 2.58
Cu 0.0000 0.5000 0.7455  4 As 2.55-2.58, 2 Co 2.55, 2 Fe 2.58
Fe 0.5000 0.5000 0.0000  8 Cu 2.58

- E_tot (eV/atom) = -4.64
- total magnetic moment (μB/f.u.) = 3.58